## ReTeAsCl2 (PBE)

Data for a geometry-optimized ReTeAsCl2 structure.

```
ReTeAsCl2
1.0
4.592 0.000 0.000
0.000 4.592 0.000
0.000 0.000 5.759
Re Te As Cl
1 1 1 2
direct
0.000 0.000 0.000 Re
0.000 0.000 0.500 Te
0.500 0.500 0.500 As
0.000 0.500 0.000 Cl
0.500 0.000 0.000 Cl
```

## Properties
Its space-group type is P4/mmm, No. 123. The value obtained for the total energy is -4.29 eV per atom.

---

## ZnRe2AsCl (PBE)

Data for a geometry-optimized ZnRe2AsCl structure.

```
ZnRe2AsCl
1.0
4.657 0.000 0.000
0.000 4.657 0.000
0.000 0.000 4.789
Zn Re As Cl
1 2 1 1
direct
0.000 0.000 0.000 Zn
0.000 0.500 0.500 Re
0.500 0.000 0.500 Re
0.000 0.000 0.500 As
0.500 0.500 0.000 Cl
```

## Properties
Its space-group type is P4/mmm, No. 123. The value obtained for the total energy is -4.85 eV per atom.

---

## As2RhCl (PBE)

Data for a geometry-optimized As2RhCl structure.

```
As2RhCl
1.0
4.860 0.000 0.000
0.000 4.860 0.000
0.000 0.000 2.910
As Rh Cl
2 1 1
direct
0.000 0.500 0.000 As
0.500 0.000 0.000 As
0.000 0.000 0.500 Rh
0.500 0.500 0.500 Cl
```

## Properties
Its space-group type is P4/mmm, No. 123. The value obtained for the total energy is -4.27 eV per atom.

---

## As2RhCl (PBE)

Data for a geometry-optimized As2RhCl structure.

```
As2RhCl
1.0
4.303 -1.689 0.000
4.303 1.689 0.000
-2.122 0.000 6.527
As Rh Cl
2 1 1
direct
0.000 0.000 0.000 As
0.146 0.146 0.766 As
0.728 0.728 0.064 Rh
0.340 0.340 0.345 Cl
```

## Properties
Its space-group type is Cm, No. 8. The value obtained for the total energy is -4.84 eV per atom.

---

## As2RhCl (PBE)

Data for a geometry-optimized As2RhCl structure.

```
As2RhCl
1.0
-2.295 2.295 3.257
2.295 -2.295 3.257
2.295 2.295 -3.257
As Rh Cl
2 1 1
direct
0.000 0.000 0.000 As
0.750 0.250 0.500 As
0.500 0.500 0.000 Rh
0.250 0.750 0.500 Cl
```

## Properties
Its space-group type is I-4m2, No. 119. The value obtained for the total energy is -4.26 eV per atom.

---

## As3RhCl (PBE)

Data for a geometry-optimized As3RhCl structure.

```
As3RhCl
1.0
4.859 0.000 0.000
0.000 4.859 0.000
0.000 0.000 4.859
As Rh Cl
3 1 1
direct
0.000 0.000 0.500 As
0.000 0.500 0.000 As
0.500 0.000 0.000 As
0.000 0.000 0.000 Rh
0.500 0.500 0.500 Cl
```

## Properties
Its space-group type is Pm-3m, No. 221. The value obtained for the total energy is -4.16 eV per atom.

---

Number 1: formation energy from raw total energies 0.493 eV/atom. Number 2: formation energy from raw total energies 1.681 eV/atom. Number 3: formation energy from raw total energies 0.355 eV/atom. Number 4: formation energy from raw total energies -0.218 eV/atom. Number 5: formation energy from raw total energies 0.365 eV/atom. Number 6: formation energy from raw total energies 0.470 eV/atom.